(1)
# Cs3TiPt

A relaxed Cs3TiPt crystal (PBE, Alexandria via LeMat-Bulk).

The value obtained for the mass density is 3.52 g/cm³. The energy above the most stable polymorph in this dataset comes out at 0 meV/atom.

The structure belongs to space group Pm-3m (No. 221); the cell edges are 6.717, 6.717 and 6.717 Å and the angles 90.00°, 90.00° and 90.00°. Symmetry generates all atoms from Cs at (0.000, 0.000, 0.500), Ti at (0.500, 0.500, 0.500) and Pt at (0.000, 0.000, 0.000).

(2)
# CsTi3Pt

A relaxed CsTi3Pt crystal (PBE, Alexandria via LeMat-Bulk).

The value obtained for the mass density is 6.83 g/cm³. The energy above the most stable polymorph in this dataset comes out at 1395 meV/atom.

The structure belongs to space group Pm-3m (No. 221); the cell edges are 4.857, 4.857 and 4.857 Å and the angles 90.00°, 90.00° and 90.00°. Symmetry generates all atoms from Cs at (0.000, 0.000, 0.000), Ti at (0.000, 0.000, 0.500) and Pt at (0.500, 0.500, 0.500).

(3)
# CsTi3Pt

A relaxed CsTi3Pt crystal (PBE, Alexandria via LeMat-Bulk).

The value obtained for the mass density is 6.14 g/cm³. The energy above the most stable polymorph in this dataset comes out at 0 meV/atom.

The structure belongs to space group Pm-3m (No. 221); the cell edges are 5.034, 5.034 and 5.034 Å and the angles 90.00°, 90.00° and 90.00°. Symmetry generates all atoms from Cs at (0.000, 0.000, 0.000), Ti at (0.000, 0.500, 0.500) and Pt at (0.500, 0.500, 0.500).

(4)
# Cs2TiTlPt

A relaxed Cs2TiTlPt crystal (PBE, Alexandria via LeMat-Bulk).

The value obtained for the mass density is 5.64 g/cm³.

The structure belongs to space group P4/mmm (No. 123); the cell edges are 6.190, 6.190 and 5.484 Å and the angles 90.00°, 90.00° and 90.00°. Symmetry generates all atoms from Cs at (0.000, 0.500, 0.000), Ti at (0.000, 0.000, 0.000), Tl at (0.000, 0.000, 0.500) and Pt at (0.500, 0.500, 0.500).

(5)
# Cs8Tl2Pt

A relaxed Cs8Tl2Pt crystal (PBE, Alexandria via LeMat-Bulk).

The value obtained for the mass density is 3.01 g/cm³.

The structure belongs to space group C2/m (No. 12); the cell edges are 22.772, 11.122 and 7.274 Å and the angles 90.00°, 94.05° and 90.00°. Symmetry generates all atoms from Cs at (0.089, 0.204, 0.208), Cs at (0.106, 0.500, 0.715), Cs at (0.222, 0.000, 0.745), Tl at (0.049, 0.000, 0.669) and Pt at (0.000, 0.000, 0.000).

(6)
# Cs8TlPt2

A relaxed Cs8TlPt2 crystal (PBE, Alexandria via LeMat-Bulk).

The value obtained for the mass density is 3.14 g/cm³.

The structure belongs to space group C2/m (No. 12); the cell edges are 18.370, 14.637 and 6.886 Å and the angles 90.00°, 108.69° and 90.00°. Symmetry generates all atoms from Cs at (0.137, 0.225, 0.154), Cs at (0.139, 0.000, 0.639), Cs at (0.147, 0.500, 0.678), Tl at (0.000, 0.000, 0.000) and Pt at (0.157, 0.000, 0.153).

(7)
# Cs4Tl5Pt

A relaxed Cs4Tl5Pt crystal (PBE, Alexandria via LeMat-Bulk).

The value obtained for the mass density is 6.39 g/cm³.

The structure belongs to space group I4mm (No. 107); the cell edges are 11.491, 11.491 and 6.885 Å and the angles 90.00°, 90.00° and 90.00°. Symmetry generates all atoms from Cs at (0.000, 0.296, 0.000), Tl at (0.000, 0.000, 0.786), Tl at (0.142, 0.142, 0.460) and Pt at (0.000, 0.000, 0.194).

(8)
# Cs2Tl3Pt3

A relaxed Cs2Tl3Pt3 crystal (PBE, Alexandria via LeMat-Bulk).

The value obtained for the mass density is 9.18 g/cm³.

The structure belongs to space group Cmcm (No. 63); the cell edges are 4.578, 15.044 and 15.381 Å and the angles 90.00°, 90.00° and 90.00°. Symmetry generates all atoms from Cs at (0.000, 0.157, 0.089), Tl at (0.000, 0.126, 0.642), Tl at (0.000, 0.443, 0.750), Pt at (0.000, 0.377, 0.250) and Pt at (0.000, 0.461, 0.075).

(9)
# CsTl3Pt

A relaxed CsTl3Pt crystal (PBE, Alexandria via LeMat-Bulk).

The value obtained for the mass density is 9.06 g/cm³. The energy above the most stable polymorph in this dataset comes out at 98 meV/atom.

The structure belongs to space group Pm-3m (No. 221); the cell edges are 5.566, 5.566 and 5.566 Å and the angles 90.00°, 90.00° and 90.00°. Symmetry generates all atoms from Cs at (0.000, 0.000, 0.000), Tl at (0.000, 0.500, 0.500) and Pt at (0.500, 0.500, 0.500).

(10)
# Cs3Tl4Pt2

A relaxed Cs3Tl4Pt2 crystal (PBE, Alexandria via LeMat-Bulk).

The value obtained for the mass density is 7.64 g/cm³. The energy above the most stable polymorph in this dataset comes out at 42 meV/atom.

The structure belongs to space group C2/m (No. 12); the cell edges are 13.805, 5.277 and 9.878 Å and the angles 90.00°, 103.86° and 90.00°. Symmetry generates all atoms from Cs at (0.000, 0.000, 0.000), Cs at (0.092, 0.500, 0.684), Tl at (0.158, 0.000, 0.413), Tl at (0.226, 0.500, 0.084) and Pt at (0.184, 0.500, 0.339).

(11)
# CsTlPt

A relaxed CsTlPt crystal (PBE, Alexandria via LeMat-Bulk).

The value obtained for the mass density is 7.67 g/cm³. The energy above the most stable polymorph in this dataset comes out at 15 meV/atom.

The structure belongs to space group C2/m (No. 12); the cell edges are 13.811, 4.531 and 9.694 Å and the angles 90.00°, 130.54° and 90.00°. Symmetry generates all atoms from Cs at (0.043, 0.000, 0.328), Tl at (0.169, 0.500, 0.137) and Pt at (0.241, 0.500, 0.916).

(12)
# Cs5Tl4Pt2

A relaxed Cs5Tl4Pt2 crystal (PBE, Alexandria via LeMat-Bulk).

The value obtained for the mass density is 5.93 g/cm³. The energy above the most stable polymorph in this dataset comes out at 0 meV/atom.

The structure belongs to space group Immm (No. 71); the cell edges are 5.226, 9.078 and 22.092 Å and the angles 90.00°, 90.00° and 90.00°. Symmetry generates all atoms from Cs at (0.000, 0.000, 0.000), Cs at (0.000, 0.240, 0.325), Tl at (0.000, 0.175, 0.500), Tl at (0.000, 0.500, 0.073) and Pt at (0.000, 0.500, 0.198).

Energy relative to the elements? In order: 0.77, 2.01, 0.62, 1.07, -0.04, -0.03, -0.12, -0.07, -0.05, -0.11, -0.14, -0.05 eV/atom.